Arrangement a

Y3GaPb2 | PBE-GGA | optimized geometry

CIF file:
```
data_Y3GaPb2
_chemical_formula_sum 'Y12 Ga4 Pb8'
_cell_length_a 12.476
_cell_length_b 4.449
_cell_length_c 12.047
_cell_angle_alpha 90.00
_cell_angle_beta 90.00
_cell_angle_gamma 90.00
_space_group_name_H-M_alt 'P n m a'
_space_group_IT_number 62
loop_
_space_group_symop_operation_xyz
'x,y,z'
'-x,-y,-z'
'-x+1/2,-y,z+1/2'
'x+1/2,y,-z+1/2'
'x+1/2,-y+1/2,-z+1/2'
'-x+1/2,y+1/2,z+1/2'
'-x,y+1/2,-z'
'x,-y+1/2,z'
loop_
_atom_site_label
_atom_site_fract_x
_atom_site_fract_y
_atom_site_fract_z
_atom_site_occupancy
Y1 0.056 0.250 0.121 1
Y2 0.121 0.750 0.551 1
Y3 0.234 0.250 0.787 1
Ga1 0.125 0.250 0.369 1
Pb1 0.005 0.250 0.699 1
Pb2 0.185 0.750 0.000 1
```



Arrangement b

Y3GaPb2 | PBE-GGA | optimized geometry

CIF file:
```
data_Y3GaPb2
_chemical_formula_sum 'Y12 Ga4 Pb8'
_cell_length_a 16.447
_cell_length_b 6.293
_cell_length_c 6.428
_cell_angle_alpha 90.00
_cell_angle_beta 100.94
_cell_angle_gamma 90.00
_space_group_name_H-M_alt 'C 1 2/c 1'
_space_group_IT_number 15
loop_
_space_group_symop_operation_xyz
'x,y,z'
'-x,-y,-z'
'-x,y,-z+1/2'
'x,-y,z+1/2'
'x+1/2,y+1/2,z'
'-x+1/2,-y+1/2,-z'
'-x+1/2,y+1/2,-z+1/2'
'x+1/2,-y+1/2,z+1/2'
loop_
_atom_site_label
_atom_site_fract_x
_atom_site_fract_y
_atom_site_fract_z
_atom_site_occupancy
Y1 0.000 0.131 0.250 1
Y2 0.162 0.388 0.593 1
Ga1 0.000 0.381 0.750 1
Pb1 0.165 0.110 0.068 1
```



The calculated energies rank the structures as follows, beginning with the most stable: arrangement a, arrangement b.



Arrangement a

ZnGa2Pb2 | PBE-GGA | optimized geometry

CIF file:
```
data_ZnGa2Pb2
_chemical_formula_sum 'Zn2 Ga4 Pb4'
_cell_length_a 3.813
_cell_length_b 3.813
_cell_length_c 17.084
_cell_angle_alpha 90.00
_cell_angle_beta 90.00
_cell_angle_gamma 90.00
_space_group_name_H-M_alt 'I 4/m m m'
_space_group_IT_number 139
_space_group_name_Hall '-I 4 2'
loop_
_atom_site_label
_atom_site_fract_x
_atom_site_fract_y
_atom_site_fract_z
_atom_site_occupancy
Zn1 0.000 0.000 0.000 1
Ga1 0.000 0.500 0.250 1
Pb1 0.000 0.000 0.397 1
```



Arrangement b

ZnGa2Pb2 | PBE-GGA | optimized geometry

CIF file:
```
data_ZnGa2Pb2
_chemical_formula_sum 'Zn2 Ga4 Pb4'
_cell_length_a 6.813
_cell_length_b 6.813
_cell_length_c 5.170
_cell_angle_alpha 90.00
_cell_angle_beta 90.00
_cell_angle_gamma 90.00
_space_group_name_H-M_alt 'P 4/m b m'
_space_group_IT_number 127
_space_group_name_Hall '-P 4 2ab'
loop_
_atom_site_label
_atom_site_fract_x
_atom_site_fract_y
_atom_site_fract_z
_atom_site_occupancy
Zn1 0.000 0.000 0.000 1
Ga1 0.138 0.362 0.000 1
Pb1 0.180 0.680 0.500 1
```



Arrangement c

ZnGa2Pb2 | PBE-GGA | optimized geometry

CIF file:
```
data_ZnGa2Pb2
_chemical_formula_sum 'Zn2 Ga4 Pb4'
_cell_length_a 8.382
_cell_length_b 8.382
_cell_length_c 3.729
_cell_angle_alpha 90.00
_cell_angle_beta 90.00
_cell_angle_gamma 90.00
_space_group_name_H-M_alt 'P 4/m b m'
_space_group_IT_number 127
_space_group_name_Hall '-P 4 2ab'
loop_
_atom_site_label
_atom_site_fract_x
_atom_site_fract_y
_atom_site_fract_z
_atom_site_occupancy
Zn1 0.000 0.000 0.000 1
Ga1 0.114 0.386 0.500 1
Pb1 0.187 0.687 0.000 1
```



The calculated energies rank the structures as follows, beginning with the most stable: arrangement b, arrangement a, arrangement c.



Arrangement a

ZnGaPb2 | PBE-GGA | optimized geometry

CIF file:
```
data_ZnGaPb2
_chemical_formula_sum 'Zn4 Ga4 Pb8'
_cell_length_a 7.388
_cell_length_b 7.388
_cell_length_c 7.388
_cell_angle_alpha 90.00
_cell_angle_beta 90.00
_cell_angle_gamma 90.00
_space_group_name_H-M_alt 'F m -3 m'
_space_group_IT_number 225
_space_group_name_Hall '-F 4 2 3'
loop_
_atom_site_label
_atom_site_fract_x
_atom_site_fract_y
_atom_site_fract_z
_atom_site_occupancy
Zn1 0.000 0.000 0.000 1
Ga1 0.000 0.000 0.500 1
Pb1 0.250 0.250 0.250 1
```



Arrangement b

ZnGaPb2 | PBE-GGA | optimized geometry

CIF file:
```
data_ZnGaPb2
_chemical_formula_sum 'Zn3 Ga3 Pb6'
_cell_length_a 4.5401
_cell_length_b 4.5401
_cell_length_c 18.1690
_cell_angle_alpha 90.00
_cell_angle_beta 90.00
_cell_angle_gamma 120.00
_space_group_name_H-M_alt 'R 3 m'
_space_group_IT_number 160
_space_group_name_Hall 'R 3 -2"'
loop_
_atom_site_label
_atom_site_fract_x
_atom_site_fract_y
_atom_site_fract_z
_atom_site_occupancy
Zn1 0.0000 0.0000 0.0000 1
Ga1 0.0000 0.0000 0.8385 1
Pb1 0.0000 0.0000 0.4117 1
Pb2 0.0000 0.0000 0.5946 1
```



The calculated energies rank the structures as follows, beginning with the most stable: arrangement a, arrangement b.



Arrangement a

ZnGaPb2 | PBE-GGA | optimized geometry

CIF file:
```
data_ZnGaPb2
_chemical_formula_sum 'Zn1 Ga1 Pb2'
_cell_length_a 5.016
_cell_length_b 5.016
_cell_length_c 3.968
_cell_angle_alpha 90.00
_cell_angle_beta 90.00
_cell_angle_gamma 90.00
_space_group_name_H-M_alt 'P 4/m m m'
_space_group_IT_number 123
_space_group_name_Hall '-P 4 2'
loop_
_atom_site_label
_atom_site_fract_x
_atom_site_fract_y
_atom_site_fract_z
_atom_site_occupancy
Zn1 0.000 0.000 0.000 1
Ga1 0.500 0.500 0.000 1
Pb1 0.000 0.500 0.500 1
```



Arrangement b

ZnGaPb2 | PBE-GGA | optimized geometry

CIF file:
```
data_ZnGaPb2
_chemical_formula_sum 'Zn3 Ga3 Pb6'
_cell_length_a 3.3715
_cell_length_b 3.3715
_cell_length_c 33.1960
_cell_angle_alpha 90.00
_cell_angle_beta 90.00
_cell_angle_gamma 120.00
_space_group_name_H-M_alt 'R -3 m'
_space_group_IT_number 166
_space_group_name_Hall '-R 3 2"'
loop_
_atom_site_label
_atom_site_fract_x
_atom_site_fract_y
_atom_site_fract_z
_atom_site_occupancy
Zn1 0.0000 0.0000 0.0000 1
Ga1 0.0000 0.0000 0.5000 1
Pb1 0.0000 0.0000 0.0878 1
```



The calculated energies rank the structures as follows, beginning with the most stable: arrangement a, arrangement b.



Arrangement a

Zn2GaPb | PBE-GGA | optimized geometry

CIF file:
```
data_Zn2GaPb
_chemical_formula_sum 'Zn8 Ga4 Pb4'
_cell_length_a 6.981
_cell_length_b 6.981
_cell_length_c 6.981
_cell_angle_alpha 90.00
_cell_angle_beta 90.00
_cell_angle_gamma 90.00
_space_group_name_H-M_alt 'F m -3 m'
_space_group_IT_number 225
_space_group_name_Hall '-F 4 2 3'
loop_
_atom_site_label
_atom_site_fract_x
_atom_site_fract_y
_atom_site_fract_z
_atom_site_occupancy
Zn1 0.250 0.250 0.250 1
Ga1 0.000 0.000 0.000 1
Pb1 0.000 0.000 0.500 1
```



Arrangement b

Zn2GaPb | PBE-GGA | optimized geometry

CIF file:
```
data_Zn2GaPb
_chemical_formula_sum 'Zn2 Ga1 Pb1'
_cell_length_a 4.414
_cell_length_b 4.414
_cell_length_c 4.321
_cell_angle_alpha 90.00
_cell_angle_beta 90.00
_cell_angle_gamma 90.00
_space_group_name_H-M_alt 'P 4/m m m'
_space_group_IT_number 123
_space_group_name_Hall '-P 4 2'
loop_
_atom_site_label
_atom_site_fract_x
_atom_site_fract_y
_atom_site_fract_z
_atom_site_occupancy
Zn1 0.000 0.500 0.000 1
Ga1 0.000 0.000 0.500 1
Pb1 0.500 0.500 0.500 1
```



The calculated energies rank the structures as follows, beginning with the most stable: arrangement a, arrangement b.



Arrangement a

Zn2GaPb | PBE-GGA | optimized geometry

CIF file:
```
data_Zn2GaPb
_chemical_formula_sum 'Zn6 Ga3 Pb3'
_cell_length_a 3.4901
_cell_length_b 3.4901
_cell_length_c 24.4085
_cell_angle_alpha 90.00
_cell_angle_beta 90.00
_cell_angle_gamma 120.00
_space_group_name_H-M_alt 'R -3 m'
_space_group_IT_number 166
_space_group_name_Hall '-R 3 2"'
loop_
_atom_site_label
_atom_site_fract_x
_atom_site_fract_y
_atom_site_fract_z
_atom_site_occupancy
Zn1 0.0000 0.0000 0.2395 1
Ga1 0.0000 0.0000 0.5000 1
Pb1 0.0000 0.0000 0.0000 1
```



Arrangement b

Zn2GaPb | PBE-GGA | optimized geometry

CIF file:
```
data_Zn2GaPb
_chemical_formula_sum 'Zn2 Ga1 Pb1'
_cell_length_a 3.446
_cell_length_b 3.446
_cell_length_c 7.040
_cell_angle_alpha 90.00
_cell_angle_beta 90.00
_cell_angle_gamma 90.00
_space_group_name_H-M_alt 'P 4/m m m'
_space_group_IT_number 123
_space_group_name_Hall '-P 4 2'
loop_
_atom_site_label
_atom_site_fract_x
_atom_site_fract_y
_atom_site_fract_z
_atom_site_occupancy
Zn1 0.000 0.000 0.202 1
Ga1 0.500 0.500 0.000 1
Pb1 0.500 0.500 0.500 1
```



The calculated energies rank the structures as follows, beginning with the most stable: arrangement b, arrangement a.